An optimized crystal structure of NdGd2Ge, computed with GGA-PBE.

a b c (Å): 4.7484 4.7484 4.7455
angles (deg): 90.00 90.00 90.00
Space group P4/mmm (No. 123)
Unique sites:
1 Nd 0.0000 0.0000 0.0000 x1
2 Gd 0.0000 0.5000 0.5000 x2
3 Ge 0.5000 0.5000 0.0000 x1

Values from the calculation:
- Formation energy: -0.36 eV per atom
- Calculated density: 8.2 g cm⁻³
- M_tot: 14.88 Bohr magnetons per cell
- Distance to the lowest polymorph of the same formula: 0 meV per atom
- E_tot: -9.744 eV/atom